Entry from the Alexandria database: crystalline Nd4CuHg2 at its relaxed geometry (PBE).

Summary:
DFT total energy ... -3.61 eV/atom
ΔH_f (0 K) ... -216 meV/atom

Lattice parameters (Å, degrees): 5.127 5.127 8.485 107.58 107.58 90.00
Sites, in units of the cell vectors:
Hg 0.250 0.250 0.501
Nd 0.386 0.886 0.773
Nd 0.114 0.614 0.227
Hg 0.750 0.750 0.499
Nd 0.614 0.114 0.227
Nd 0.886 0.386 0.773
Cu 0.000 0.000 0.000